The following is a GGA-PBE calculation of a relaxed structure of TiCrCo2H, from the Alexandria database.

The structure in POSCAR format:
```
TiCrCo2H
1.0
-0.200 3.176 1.876
-0.721 -1.877 3.100
3.623 -0.198 0.722
Cr Co H Ti
1 2 1 1
Direct
0.000 0.000 0.500
0.000 0.500 0.000
0.500 0.000 0.000
0.000 0.000 0.000
0.500 0.500 0.500
```

Summary:
**E**: -0.5239 Ry per atom
**Total magnetic moment**: 2.1 μB per formula unit